# 1
The following is a GGA-PBE calculation of a geometry-optimized Mn2PtCl structure, from the Alexandria database.

Geometry as POSCAR:
```
Mn2PtCl
1.0
3.0780 0.0000 0.0000
0.0000 3.0781 0.0000
0.0000 0.0000 7.2617
Pt Mn Cl
1 2 1
direct
0.5000 0.5000 0.2500
0.0000 0.0000 0.0264
0.0000 0.0000 0.4736
0.5000 0.5000 0.7500
```

Computed properties:
E above lowest polymorph in meV/atom: 26
E in eV per formula unit: -26.8

# 2
The following is a GGA-PBE calculation of a geometry-optimized MnPtCl structure, from the Alexandria database.

Geometry as POSCAR:
```
MnPtCl
1.0
3.1903 0.0000 0.0000
-1.5951 2.7628 0.0000
0.0000 0.0000 6.3441
Mn Pt Cl
1 1 1
direct
0.3333 0.6667 0.3261
0.6667 0.3333 0.6063
0.0000 0.0000 0.0676
```

Computed properties:
E above lowest polymorph in meV/atom: 0
E in eV per formula unit: -17.7

# 3
The following is a GGA-PBE calculation of a geometry-optimized MnPtCl2 structure, from the Alexandria database.

Geometry as POSCAR:
```
MnPtCl2
1.0
9.6857 -0.0701 -0.0412
9.1715 3.1146 -0.0412
9.1715 1.4808 2.7404
Mn Pt Cl
1 1 2
direct
0.2500 0.2500 0.2500
0.7500 0.7500 0.7500
0.5272 0.5272 0.5272
0.9728 0.9728 0.9728
```

Computed properties:
E above lowest polymorph in meV/atom: 450
E in eV per formula unit: -18.7

# 4
The following is a GGA-PBE calculation of a geometry-optimized MnPtCl2 structure, from the Alexandria database.

Geometry as POSCAR:
```
MnPtCl2
1.0
4.3789 0.0000 0.0000
0.0000 4.3789 0.0000
0.0000 0.0000 3.6528
Cl Pt Mn
2 1 1
direct
0.0000 0.0000 0.0000
0.5000 0.5000 0.0000
0.0000 0.5000 0.5000
0.5000 0.0000 0.5000
```

Computed properties:
E above lowest polymorph in meV/atom: 685
E in eV per formula unit: -17.8

# 5
The following is a GGA-PBE calculation of a geometry-optimized MnPtCl2 structure, from the Alexandria database.

Geometry as POSCAR:
```
MnPtCl2
1.0
-4.3335 -1.6090 5.5042
-4.4653 -5.2917 1.9295
6.3216 2.5638 -2.2647
Cl Pt Mn
2 1 1
direct
0.7726 0.2726 0.5000
0.0111 0.0111 0.0000
0.2830 0.7830 0.5000
0.4332 0.4332 0.0000
```

Computed properties:
E above lowest polymorph in meV/atom: 280
E in eV per formula unit: -19.4

# 6
The following is a GGA-PBE calculation of a geometry-optimized MnRuPt2Cl structure, from the Alexandria database.

Geometry as POSCAR:
```
MnRuPt2Cl
1.0
4.7358 0.0000 0.0000
0.0000 5.1521 0.0000
0.0000 0.0000 4.7358
Pt Cl Ru Mn
2 1 1 1
direct
0.5000 0.0000 0.0000
0.0000 0.0000 0.5000
0.5000 0.5000 0.5000
0.0000 0.0000 0.0000
0.0000 0.5000 0.0000
```

Computed properties:
E in eV per formula unit: -26.9

# 7
The following is a GGA-PBE calculation of a geometry-optimized MnPt2SeCl structure, from the Alexandria database.

Geometry as POSCAR:
```
MnPt2SeCl
1.0
-1.4538 -4.3883 -0.9336
1.8428 -1.5640 4.4818
-4.1492 0.9417 2.0347
Mn Pt Cl Se
1 2 1 1
direct
0.5000 0.5000 0.5000
0.5000 0.0000 0.0000
0.0000 0.0000 0.5000
0.0000 0.5000 0.0000
0.0000 0.0000 0.0000
```

Computed properties:
E in eV per formula unit: -23.5

# 8
The following is a GGA-PBE calculation of a geometry-optimized MnV2PtCl structure, from the Alexandria database.

Geometry as POSCAR:
```
MnV2PtCl
1.0
4.4073 0.0000 0.0000
0.0000 4.1429 0.0000
0.0000 0.0000 4.4073
Cl V Pt Mn
1 2 1 1
direct
0.0000 0.5000 0.0000
0.5000 0.0000 0.0000
0.0000 0.0000 0.5000
0.5000 0.5000 0.5000
0.0000 0.0000 0.0000
```

Computed properties:
E in eV per formula unit: -31.0

Values of energy relative to the elements, uncorrected, in order: -0.140 -0.220 0.042 0.277 -0.127 1.100 0.624 0.867, all in eV per atom.
Values of calculated volume, in order: 68.80 55.92 85.67 70.04 87.26 115.55 113.26 80.47, all in Å³/cell.